i.
Crystalline RbTbNiTe3 at its relaxed geometry, computed with PBE.

- Total magnetic moment: 0.01 μB/cell

Cell lengths 16.7650, 4.3149, 11.3970 Å; angles 90.00, 90.00, 90.00 degrees
Space group Pnma (No. 62)
Unique sites:
Rb  0.2307  0.2500  0.0213 [4 per cell]
Tb  0.0211  0.2500  0.3431 [4 per cell]
Ni  0.0122  0.7500  0.1118 [4 per cell]
Te  0.0656  0.7500  0.9039 [4 per cell]
Te  0.1013  0.2500  0.5835 [4 per cell]
Te  0.1336  0.7500  0.2453 [4 per cell]


ii.
Crystalline RbTbNiTe3 at its relaxed geometry, computed with PBE.

- Total magnetic moment: 0.00 μB/cell

Cell lengths 12.0208, 4.5595, 13.6402 Å; angles 90.00, 90.00, 90.00 degrees
Space group Pnma (No. 62)
Unique sites:
Rb  0.1636  0.2500  0.0006 [4 per cell]
Tb  0.0025  0.2500  0.3352 [4 per cell]
Ni  0.2304  0.2500  0.7086 [4 per cell]
Te  0.0566  0.7500  0.1886 [4 per cell]
Te  0.1156  0.2500  0.5500 [4 per cell]
Te  0.2233  0.7500  0.7882 [4 per cell]


Stability comparison, relative energies in meV/atom: i 0; ii 69


i.
Crystalline RbTbNiTe3 at its relaxed geometry, computed with PBE.

- Total magnetic moment: 0.03 μB/cell

Cell lengths 4.2415, 17.7483, 10.7137 Å; angles 90.00, 90.00, 90.00 degrees
Space group Cmcm (No. 63)
Unique sites:
Rb  0.0000  0.2448  0.2500 [4 per cell]
Tb  0.0000  0.5000  0.0000 [4 per cell]
Ni  0.0000  0.0089  0.7500 [4 per cell]
Te  0.0000  0.1138  0.5885 [8 per cell]
Te  0.0000  0.4214  0.7500 [4 per cell]


ii.
Crystalline RbTbNiTe3 at its relaxed geometry, computed with PBE.

- Total magnetic moment: 5.57 μB/cell

Cell lengths 11.5285, 4.2818, 16.1898 Å; angles 90.00, 90.00, 90.00 degrees
Space group Pnma (No. 62)
Unique sites:
Rb  0.2430  0.2500  0.0089 [4 per cell]
Tb  0.0065  0.7500  0.2514 [4 per cell]
Ni  0.2454  0.7500  0.7856 [4 per cell]
Te  0.0621  0.7500  0.8761 [4 per cell]
Te  0.0734  0.2500  0.3786 [4 per cell]
Te  0.2442  0.2500  0.6939 [4 per cell]


Stability comparison, relative energies in meV/atom: i 0; ii 16


i.
Crystalline RbTbNiTe3 at its relaxed geometry, computed with PBE.

- Total magnetic moment: 1.08 μB/cell

Cell lengths 17.3201, 4.5459, 9.8027 Å; angles 90.00, 94.64, 90.00 degrees
Space group C2/m (No. 12)
Unique sites:
Rb  0.1507  0.0000  0.0858 [4 per cell]
Tb  0.1654  0.0000  0.5901 [4 per cell]
Ni  0.0038  0.5000  0.3614 [4 per cell]
Te  0.0000  0.0000  0.5000 [2 per cell]
Te  0.0000  0.5000  0.0000 [2 per cell]
Te  0.1256  0.5000  0.7899 [4 per cell]
Te  0.1583  0.5000  0.3661 [4 per cell]


ii.
Crystalline RbTbNiTe3 at its relaxed geometry, computed with PBE.

- Total magnetic moment: 2.89 μB/cell

Cell lengths 11.0127, 4.3846, 16.0134 Å; angles 90.00, 90.00, 90.00 degrees
Space group Pnma (No. 62)
Unique sites:
Rb  0.0444  0.2500  0.1656 [4 per cell]
Tb  0.1516  0.7500  0.4435 [4 per cell]
Ni  0.1500  0.2500  0.6240 [4 per cell]
Te  0.0336  0.7500  0.6182 [4 per cell]
Te  0.1859  0.7500  0.0096 [4 per cell]
Te  0.2255  0.2500  0.7732 [4 per cell]


Stability comparison, relative energies in meV/atom: i 73; ii 0


i.
Crystalline RbTlNi at its relaxed geometry, computed with PBE.

- Total magnetic moment: 0.01 μB/cell

Cell lengths 7.2386, 7.2386, 7.2386 Å; angles 90.00, 90.00, 90.00 degrees
Space group F-43m (No. 216)
Unique sites:
Rb  0.0000  0.0000  0.0000 [4 per cell]
Tl  0.0000  0.0000  0.5000 [4 per cell]
Ni  0.2500  0.2500  0.2500 [4 per cell]


ii.
Crystalline RbTlNi at its relaxed geometry, computed with PBE.

- Total magnetic moment: 0.66 μB/cell

Cell lengths 7.6785, 7.6785, 7.6785 Å; angles 90.00, 90.00, 90.00 degrees
Space group F-43m (No. 216)
Unique sites:
Rb  0.0000  0.0000  0.0000 [4 per cell]
Tl  0.2500  0.2500  0.2500 [4 per cell]
Ni  0.2500  0.2500  0.7500 [4 per cell]


Stability comparison, relative energies in meV/atom: i 0; ii 485


i.
Crystalline Re4Ni9 at its relaxed geometry, computed with PBE.

- Total magnetic moment: 3.07 μB/cell

Cell lengths 4.6180, 4.6180, 25.2146 Å; angles 90.00, 90.00, 120.00 degrees
Space group R-3m (No. 166, hexagonal axes)
Unique sites:
Re  0.0000  0.0000  0.0476 [6 per cell]
Re  0.0000  0.0000  0.1535 [6 per cell]
Ni  0.0000  0.0000  0.3335 [6 per cell]
Ni  0.0000  0.0000  0.5000 [3 per cell]
Ni  0.0024  0.5012  0.9119 [18 per cell]


ii.
Crystalline Re4Ni9 at its relaxed geometry, computed with PBE.

- Total magnetic moment: 0.01 μB/cell

Cell lengths 4.5972, 4.5972, 25.0062 Å; angles 90.00, 90.00, 120.00 degrees
Space group R-3m (No. 166, hexagonal axes)
Unique sites:
Re  0.0000  0.0000  0.1494 [6 per cell]
Re  0.0000  0.0000  0.3329 [6 per cell]
Ni  0.0000  0.0000  0.0471 [6 per cell]
Ni  0.0000  0.0000  0.5000 [3 per cell]
Ni  0.0022  0.5011  0.9111 [18 per cell]


Stability comparison, relative energies in meV/atom: i 81; ii 0


i.
Crystalline Re5Ni7 at its relaxed geometry, computed with PBE.

- Total magnetic moment: 0.47 μB/cell

Cell lengths 4.8843, 4.8843, 15.2686 Å; angles 90.00, 90.00, 120.00 degrees
Space group P6_3/mmc (No. 194)
Unique sites:
Re  0.0000  0.0000  0.0805 [4 per cell]
Re  0.1632  0.3263  0.2500 [6 per cell]
Ni  0.0000  0.5000  0.0000 [6 per cell]
Ni  0.3333  0.6667  0.1197 [4 per cell]
Ni  0.3333  0.6667  0.6595 [4 per cell]


ii.
Crystalline Re5Ni7 at its relaxed geometry, computed with PBE.

- Total magnetic moment: 0.27 μB/cell

Cell lengths 4.9332, 4.9332, 15.0535 Å; angles 90.00, 90.00, 120.00 degrees
Space group P6_3/mmc (No. 194)
Unique sites:
Re  0.1638  0.3275  0.2500 [6 per cell]
Re  0.3333  0.6667  0.6578 [4 per cell]
Ni  0.0000  0.0000  0.0937 [4 per cell]
Ni  0.0000  0.5000  0.0000 [6 per cell]
Ni  0.3333  0.6667  0.1197 [4 per cell]


iii.
Crystalline Re5Ni7 at its relaxed geometry, computed with PBE.

- Total magnetic moment: 0.90 μB/cell

Cell lengths 4.9096, 4.9096, 14.9972 Å; angles 90.00, 90.00, 120.00 degrees
Space group P6_3/mmc (No. 194)
Unique sites:
Re  0.0000  0.5000  0.0000 [6 per cell]
Re  0.3333  0.6667  0.1650 [4 per cell]
Ni  0.0000  0.0000  0.0887 [4 per cell]
Ni  0.1561  0.3121  0.7500 [6 per cell]
Ni  0.3333  0.6667  0.6336 [4 per cell]


Stability comparison, relative energies in meV/atom: i 56; ii 0; iii 28